1.
Compound: KNaTl3
Source: the Alexandria database
Functional: meta-GGA SCAN
Structure: PBEsol geometry

The space group is Pm-3m (No. 221) and the conventional cell measures 6.020, 6.020 and 6.020 Å, with angles of 90.00, 90.00 and 90.00 degrees. The distinct sites, in fractional coordinates, are K at (0.000, 0.000, 0.000), Na at (0.500, 0.500, 0.500) and Tl at (0.000, 0.000, 0.500).

The calculation puts the spin magnetization at 0.00 μB per formula unit. The crystal system is cubic.

***

2.
Compound: KNa2Tl2
Source: the Alexandria database
Functional: meta-GGA SCAN
Structure: PBEsol geometry

The space group is I4/mmm (No. 139) and the conventional cell measures 4.877, 4.877 and 14.470 Å, with angles of 90.00, 90.00 and 90.00 degrees. The distinct sites, in fractional coordinates, are K at (0.000, 0.000, 0.000), Na at (0.000, 0.500, 0.250) and Tl at (0.000, 0.000, 0.398).

The calculation puts the spin magnetization at 0.00 μB per formula unit. The crystal system is tetragonal. The calculation puts the energy above the most stable polymorph in this dataset at 0.20 eV per formula unit.

***

3.
Compound: K2NaTl
Source: the Alexandria database
Functional: meta-GGA SCAN
Structure: PBEsol geometry

The space group is Fm-3m (No. 225) and the conventional cell measures 8.731, 8.731 and 8.731 Å, with angles of 90.00, 90.00 and 90.00 degrees. The distinct sites, in fractional coordinates, are K at (0.250, 0.250, 0.250), Na at (0.000, 0.000, 0.000) and Tl at (0.000, 0.000, 0.500).

The calculation puts the spin magnetization at 0.00 μB per formula unit. The crystal system is cubic.

***

4.
Compound: KNa3Tl
Source: the Alexandria database
Functional: meta-GGA SCAN
Structure: PBEsol geometry

The space group is Pm-3m (No. 221) and the conventional cell measures 5.997, 5.997 and 5.997 Å, with angles of 90.00, 90.00 and 90.00 degrees. The distinct sites, in fractional coordinates, are K at (0.000, 0.000, 0.000), Na at (0.000, 0.500, 0.500) and Tl at (0.500, 0.500, 0.500).

The calculation puts the spin magnetization at 0.00 μB per formula unit. The crystal system is cubic.

***

5.
Compound: KNa2Tl2
Source: the Alexandria database
Functional: meta-GGA SCAN
Structure: PBEsol geometry

The space group is P4/mbm (No. 127) and the conventional cell measures 9.423, 9.423 and 3.500 Å, with angles of 90.00, 90.00 and 90.00 degrees. The distinct sites, in fractional coordinates, are K at (0.000, 0.000, 0.000), Na at (0.175, 0.325, 0.500) and Tl at (0.117, 0.617, 0.000).

The calculation puts the spin magnetization at 0.00 μB per formula unit. The crystal system is tetragonal. The calculation puts the energy above the most stable polymorph in this dataset at 0.00 eV per formula unit.

***

6.
Compound: KNaZr3
Source: the Alexandria database
Functional: meta-GGA SCAN
Structure: PBEsol geometry

The space group is Pm-3m (No. 221) and the conventional cell measures 5.216, 5.216 and 5.216 Å, with angles of 90.00, 90.00 and 90.00 degrees. The distinct sites, in fractional coordinates, are K at (0.000, 0.000, 0.000), Na at (0.500, 0.500, 0.500) and Zr at (0.000, 0.500, 0.500).

The calculation puts the spin magnetization at 1.74 μB per formula unit. The crystal system is cubic.

***

7.
Compound: KNbNi3
Source: the Alexandria database
Functional: meta-GGA SCAN
Structure: PBEsol geometry

The space group is Pm-3m (No. 221) and the conventional cell measures 4.322, 4.322 and 4.322 Å, with angles of 90.00, 90.00 and 90.00 degrees. The distinct sites, in fractional coordinates, are K at (0.000, 0.000, 0.000), Nb at (0.500, 0.500, 0.500) and Ni at (0.000, 0.000, 0.500).

The calculation puts the spin magnetization at 3.68 μB per formula unit. The crystal system is cubic.

***

8.
Compound: KNb2NiW
Source: the Alexandria database
Functional: meta-GGA SCAN
Structure: PBEsol geometry

The space group is P4/mmm (No. 123) and the conventional cell measures 4.622, 4.622 and 4.039 Å, with angles of 90.00, 90.00 and 90.00 degrees. The distinct sites, in fractional coordinates, are K at (0.000, 0.000, 0.000), Nb at (0.000, 0.500, 0.000), Ni at (0.000, 0.000, 0.500) and W at (0.500, 0.500, 0.500).

The calculation puts the spin magnetization at 0.00 μB per formula unit. The crystal system is tetragonal.

***

Values for calculated formation energy, kJ/mol of formula units, ordered as above
237 -56 -8 -32 -76 802 1069 1297